First-principles (GGA-PBE) data for crystalline YRu at its relaxed geometry, as listed in Alexandria via LeMat-Bulk.

Properties
For the formation energy, the calculation gives 438 meV/atom. The density of states at the Fermi level is 0.694 states/eV/atom. The calculation puts the spin magnetization at 0.00 μB/f.u. For the uncorrected energy, the calculation gives -7.43 eV/atom.

a b c (Å): 3.3250 3.3250 9.2119
angles (deg): 90.00 90.00 120.00
Space group P6_3mc (No. 186)
Unique sites:
Y  0.3333  0.6667  0.0000 x2
Ru  0.3333  0.6667  0.7133 x2



First-principles (GGA-PBE) data for crystalline Si2SnPd4 at its relaxed geometry, as listed in Alexandria via LeMat-Bulk.

Properties
The density of states at the Fermi level is 0.958 states/eV/atom. The calculation puts the spin magnetization at 0.00 μB/f.u. The uncorrected formation energy comes out at 315 meV per atom. For the uncorrected energy, the calculation gives -4.77 eV/atom.

a b c (Å): 4.951 4.951 12.233
angles (deg): 90.00 90.00 90.00
Space group I4/mmm (No. 139)
Unique sites:
Si  0.000  0.000  0.097 x4
Sn  0.000  0.000  0.500 x2
Pd  0.000  0.000  0.282 x4
Pd  0.000  0.500  0.000 x4



First-principles (GGA-PBE) data for crystalline TaAlHg at its relaxed geometry, as listed in Alexandria via LeMat-Bulk.

Properties
For the formation energy, the calculation gives 701 meV/atom. The density of states at the Fermi level is 0.745 states/eV/atom. The calculation puts the spin magnetization at 0.00 μB/f.u. For the uncorrected energy, the calculation gives -4.60 eV/atom.

a b c (Å): 6.254 6.254 6.254
angles (deg): 90.00 90.00 90.00
Space group F-43m (No. 216)
Unique sites:
Ta  0.000  0.000  0.000 x4
Al  0.250  0.250  0.750 x4
Hg  0.000  0.000  0.500 x4



First-principles (GGA-PBE) data for crystalline Ta2BeP at its relaxed geometry, as listed in Alexandria via LeMat-Bulk.

Properties
For the formation energy, the calculation gives -182 meV/atom. The density of states at the Fermi level is 0.654 states/eV/atom. The calculation puts the spin magnetization at 0.00 μB/f.u. For the uncorrected energy, the calculation gives -8.39 eV/atom.

a b c (Å): 3.436 3.436 5.089
angles (deg): 90.00 90.00 90.00
Space group P4mm (No. 99)
Unique sites:
Ta  0.000  0.000  0.000 x1
Ta  0.500  0.500  0.351 x1
Be  0.000  0.000  0.473 x1
P  0.500  0.500  0.836 x1



First-principles (GGA-PBE) data for crystalline TmAlV at its relaxed geometry, as listed in Alexandria via LeMat-Bulk.

Properties
For the formation energy, the calculation gives 10 meV/atom. The density of states at the Fermi level is 0.707 states/eV/atom. The calculation puts the spin magnetization at 2.88 μB/f.u. For the uncorrected energy, the calculation gives -5.77 eV/atom.

a b c (Å): 3.439 3.439 10.197
angles (deg): 90.00 90.00 90.00
Space group I4mm (No. 107)
Unique sites:
Tm  0.000  0.000  0.000 x2
Al  0.000  0.000  0.694 x2
V  0.000  0.000  0.314 x2



First-principles (GGA-PBE) data for crystalline Sr4InPt at its relaxed geometry, as listed in Alexandria via LeMat-Bulk.

Properties
For the formation energy, the calculation gives 482 meV/atom. The density of states at the Fermi level is 1.088 states/eV/atom. The calculation puts the spin magnetization at 0.00 μB/f.u. For the uncorrected energy, the calculation gives -2.10 eV/atom.

a b c (Å): 9.469 9.469 9.469
angles (deg): 90.00 90.00 90.00
Space group F-43m (No. 216)
Unique sites:
Sr  0.124  0.124  0.376 x16
In  0.000  0.000  0.000 x4
Pt  0.250  0.250  0.750 x4